Compound: Tl3SnSb2
Source: Alexandria
Functional: PBE
Structure: relaxed

Calculated values
The crystal system is monoclinic. For the formation energy from raw total energies, the calculation gives 1 meV/atom. For the energy above the most stable polymorph in this dataset, the calculation gives 0 meV per atom. For the total energy, the calculation gives -3.22 eV per atom. As for the symmetry: C2/m.

CIF file:
```
data_Tl3SnSb2
_space_group_name_H-M_alt 'P 1'
_space_group_IT_number 1
_space_group_name_Hall 'P 1'
_cell_length_a 4.648
_cell_length_b 9.200
_cell_length_c 10.491
_cell_angle_alpha 73.20
_cell_angle_beta 77.20
_cell_angle_gamma 75.37
loop_
_atom_site_label
_atom_site_type_symbol
_atom_site_fract_x
_atom_site_fract_y
_atom_site_fract_z
Tl1 Tl 0.050 0.112 0.787
Tl2 Tl 0.950 0.888 0.213
Tl3 Tl 0.616 0.794 0.974
Tl4 Tl 0.384 0.206 0.026
Tl5 Tl 0.767 0.833 0.632
Tl6 Tl 0.233 0.167 0.368
Sn1 Sn 0.410 0.494 0.686
Sn2 Sn 0.590 0.506 0.314
Sb1 Sb 0.828 0.468 0.875
Sb2 Sb 0.172 0.532 0.125
Sb3 Sb 0.606 0.226 0.563
Sb4 Sb 0.394 0.774 0.437
```